A crystal of ZnHg2RuCl relaxed with PBEsol. Source: the Alexandria database, functional meta-GGA SCAN.

Unit cell a=5.0123 b=5.0123 c=4.6174 alpha=90.00 beta=90.00 gamma=90.00
Closest atoms and distances in Å follow each position.
Space group P4/mmm (No. 123)
One atom of each set of equivalent atoms:
Zn: 0.0000 0.0000 0.0000 [1 per cell]  2 Cl 2.31, 4 Hg 2.51
Hg: 0.0000 0.5000 0.0000 [2 per cell]  2 Zn 2.51
Ru: 0.5000 0.5000 0.5000 [1 per cell]  8 Hg 3.41, 4 Cl 3.54
Cl: 0.0000 0.0000 0.5000 [1 per cell]  2 Zn 2.31

Summary:
**Magnetic moment**: 0.514 μB per atom
**Uncorrected formation energy**: 789 meV per atom